1.
Here is crystalline MgPdO at its relaxed geometry from Alexandria. Energies are from PBE-GGA.

a b c (Å): 3.0050 3.0050 29.4880
angles (deg): 90.00 90.00 120.00
Space group R3m (No. 160, hexagonal axes)
One atom of each set of equivalent atoms:
Mg (0.0000, 0.0000, 0.0000) (multiplicity 3)
Mg (0.0000, 0.0000, 0.2478) (multiplicity 3)
Pd (0.0000, 0.0000, 0.4316) (multiplicity 3)
Pd (0.0000, 0.0000, 0.8391) (multiplicity 3)
O (0.0000, 0.0000, 0.3637) (multiplicity 3)
O (0.0000, 0.0000, 0.6165) (multiplicity 3)

VASP energy, eV/atom: -5.310

2.
Here is crystalline MgPd2O2 at its relaxed geometry from Alexandria. Energies are from PBE-GGA.

a b c (Å): 4.255 4.255 7.882
angles (deg): 90.00 90.00 90.00
Space group I4/mmm (No. 139)
One atom of each set of equivalent atoms:
Mg (0.000, 0.000, 0.000) (multiplicity 2)
Pd (0.000, 0.000, 0.321) (multiplicity 4)
O (0.000, 0.500, 0.250) (multiplicity 4)

VASP energy, eV/atom: -4.649

3.
Here is crystalline Mg2PdO4 at its relaxed geometry from Alexandria. Energies are from PBE-GGA.

a b c (Å): 10.270 3.148 5.254
angles (deg): 90.00 114.27 90.00
Space group C2/m (No. 12)
One atom of each set of equivalent atoms:
Mg (0.188, 0.000, 0.157) (multiplicity 4)
Pd (0.000, 0.500, 0.500) (multiplicity 2)
O (0.126, 0.500, 0.912) (multiplicity 4)
O (0.127, 0.000, 0.478) (multiplicity 4)

VASP energy, eV/atom: -5.638